No. 1
Entry from Alexandria via LeMat-Bulk: a geometry-optimized NaReH2 structure (PBE).

Lattice parameters (Å, degrees): 4.9328 4.9328 4.8379 59.35 59.35 90.00
Atoms (fractional coordinates):
Re  0.0000  0.0000  0.0000
Re  0.7500  0.2500  0.5000
H  0.6752  0.1250  0.2500
H  0.0748  0.6250  0.2500
H  0.3750  0.3248  0.7500
H  0.8750  0.9252  0.7500
Na  0.5000  0.5000  0.0000
Na  0.2500  0.7500  0.5000

## Properties
space group: I-42d
spin magnetization: 0.00 μB per cell
calculated total energy: -4.70 eV per atom
D(E_F): 0.38 states/eV/atom


No. 2
Entry from Alexandria via LeMat-Bulk: a geometry-optimized Na2ReH structure (PBE).

Lattice parameters (Å, degrees): 6.0729 6.0729 5.6608 57.56 57.56 90.00
Atoms (fractional coordinates):
Re  0.0000  0.0000  0.0000
Re  0.7500  0.2500  0.5000
H  0.5000  0.5000  0.0000
H  0.2500  0.7500  0.5000
Na  0.4923  0.1250  0.2500
Na  0.2577  0.6250  0.2500
Na  0.3750  0.5077  0.7500
Na  0.8750  0.7423  0.7500

## Properties
space group: I-42d
spin magnetization: 0.00 μB per cell
calculated total energy: -3.04 eV per atom
D(E_F): 0.57 states/eV/atom


No. 3
Entry from Alexandria via LeMat-Bulk: a geometry-optimized Na3ReH7 structure (PBE).

Lattice parameters (Å, degrees): 5.5951 5.5951 5.2912 59.80 59.80 91.32
Site moments in Bohr magnetons follow the coordinates.
Atoms (fractional coordinates):
Na  0.7076  0.2089  0.5578  0.00
Na  0.4523  0.4523  0.0740  0.01
Na  0.2089  0.7076  0.5578  0.00
Re  0.9604  0.9604  0.0442  0.66
H  0.2132  0.2132  0.9794  0.00
H  0.6918  0.1109  0.1676  0.00
H  0.0324  0.2768  0.6654  0.00
H  0.1109  0.6918  0.1676  0.00
H  0.6562  0.6562  0.4670  -0.01
H  0.2768  0.0324  0.6654  0.00
H  0.8145  0.8145  0.9035  0.01

## Properties
space group: Cm
spin magnetization: 1.01 μB per cell
calculated total energy: -3.77 eV per atom
D(E_F): 0.08 states/eV/atom